(1)
TbZnCdAg PBE-GGA relaxed; ρ = 8.93 g/cm3; crystal system = cubic; D(E_F) = 2.50 states/eV/f.u.; energy = -2.725 eV per atom
1.0
-4.2903 -2.1280 0.9916
-1.9950 -3.0968 -3.2169
-0.1835 -4.7835 1.0012
Zn Tb Ag Cd
1 1 1 1
direct
0.5000 0.5000 0.5000 Zn
0.2500 0.2500 0.2500 Tb
0.0000 0.0000 0.0000 Ag
0.7500 0.7500 0.7500 Cd

---

(2)
TbZrCdAg PBE-GGA relaxed; ρ = 8.39 g/cm3; crystal system = cubic; D(E_F) = 3.88 states/eV/f.u.; energy = -4.336 eV per atom
1.0
-3.4322 3.6891 0.7027
-3.6539 0.7668 -3.4560
-4.8246 -1.1887 1.0925
Tb Zr Ag Cd
1 1 1 1
direct
0.2500 0.2500 0.2500 Tb
0.7500 0.7500 0.7500 Zr
0.0000 0.0000 0.0000 Ag
0.5000 0.5000 0.5000 Cd

---

(3)
CdTcAg PBE-GGA relaxed; ρ = 10.02 g/cm3; crystal system = trigonal; D(E_F) = 0.97 states/eV/f.u.; energy = -4.582 eV per atom
1.0
-0.8473 2.4379 -1.2945
-1.1969 -2.5204 -0.7429
-30.7907 5.5828 30.6673
Tc Ag Cd
6 6 6
direct
0.0000 0.0000 0.6435 Tc
0.3333 0.6667 0.3102 Tc
0.6667 0.3333 0.9769 Tc
0.0000 0.0000 0.2651 Tc
0.3333 0.6667 0.9318 Tc
0.6667 0.3333 0.5984 Tc
0.0000 0.0000 0.7541 Ag
0.3333 0.6667 0.4208 Ag
0.6667 0.3333 0.0874 Ag
0.0000 0.0000 0.3652 Ag
0.3333 0.6667 0.0318 Ag
0.6667 0.3333 0.6985 Ag
0.0000 0.0000 0.1457 Cd
0.3333 0.6667 0.8123 Cd
0.6667 0.3333 0.4790 Cd
0.0000 0.0000 0.5419 Cd
0.3333 0.6667 0.2086 Cd
0.6667 0.3333 0.8753 Cd

---

(4)
CdTcAg PBE-GGA relaxed; ρ = 9.90 g/cm3; crystal system = triclinic; D(E_F) = 1.61 states/eV/f.u.; energy = -4.407 eV per atom
1.0
-1.5368 -2.1562 -1.5064
3.3478 -2.7862 -2.4894
1.4127 -6.1838 4.3675
Tc Ag Cd
2 2 2
direct
0.1829 0.9163 0.8819 Tc
0.8305 0.5165 0.9915 Tc
0.1746 0.4889 0.3289 Ag
0.4927 0.0025 0.1797 Ag
0.8398 0.9670 0.5219 Cd
0.5202 0.4385 0.6878 Cd

---

(5)
CdTc4Ag PBE-GGA relaxed; ρ = 10.15 g/cm3; crystal system = cubic; D(E_F) = 5.33 states/eV/f.u.; energy = -7.005 eV per atom
1.0
-2.5170 -4.0888 2.0292
-3.7063 -2.4112 -2.7606
0.8521 -4.7837 -1.8871
Cd Tc Ag
1 4 1
direct
0.0000 0.0000 0.0000 Cd
0.8739 0.3754 0.3754 Tc
0.3754 0.3754 0.8739 Tc
0.3754 0.8739 0.3754 Tc
0.3754 0.3754 0.3754 Tc
0.7500 0.7500 0.7500 Ag

---

(6)
CdTcAg PBE-GGA relaxed; ρ = 8.44 g/cm3; crystal system = cubic; D(E_F) = 1.73 states/eV/f.u.; energy = -3.747 eV per atom
1.0
-0.9190 0.6022 -4.3197
-4.2204 -0.1629 -1.4244
-2.0434 3.7258 -1.3455
Ag Cd Tc
1 1 1
direct
0.2500 0.2500 0.2500 Ag
0.0000 0.0000 0.0000 Cd
0.5000 0.5000 0.5000 Tc